Pr4DySn4, optimized geometry, DFT PBE; DOS(E_F) = 0.81 states/eV per atom; DFT formation energy = -499 meV per atom
1.0
-2.172 -5.062 -3.494
3.534 -6.022 6.529
-8.293 0.281 4.748
Sn Pr Dy
8 8 2
direct
0.356 0.606 0.771
0.644 0.771 0.394
0.144 0.894 0.729
0.856 0.729 0.106
0.856 0.271 0.894
0.644 0.229 0.606
0.356 0.394 0.229
0.144 0.106 0.271
0.863 0.420 0.214
0.637 0.920 0.714
0.637 0.080 0.286
0.863 0.580 0.786
0.363 0.286 0.920
0.363 0.714 0.080
0.137 0.786 0.420
0.137 0.214 0.580
0.500 0.500 0.500
0.000 0.000 0.000

PrDySn, optimized geometry, DFT PBE; DOS(E_F) = 1.13 states/eV per atom; DFT formation energy = -617 meV per atom; energy relative to the lowest polymorph listed for this composition = 0 meV/atom
1.0
4.501 0.176 -1.208
-0.499 4.476 -1.208
0.050 0.058 9.198
Dy Sn Pr
2 2 2
direct
0.000 0.500 0.000
0.500 0.000 0.000
0.132 0.132 0.264
0.868 0.868 0.736
0.323 0.323 0.647
0.677 0.677 0.353

PrDySn, optimized geometry, DFT PBE; DOS(E_F) = 0.73 states/eV per atom; DFT formation energy = -374 meV per atom; energy relative to the lowest polymorph listed for this composition = 243 meV/atom
1.0
3.956 0.000 0.000
0.000 5.186 0.000
0.000 -2.593 4.491
Sn Pr Dy
1 1 1
direct
0.723 0.667 0.333
0.363 0.333 0.667
0.914 0.000 0.000

Pr3Dy2Sn4, optimized geometry, DFT PBE; DOS(E_F) = 0.66 states/eV per atom; DFT formation energy = -624 meV per atom
1.0
-0.687 0.501 -4.499
6.511 -2.891 1.013
-7.643 -6.503 0.444
Pr Sn Dy
3 4 2
direct
0.623 0.246 0.698
0.000 0.000 0.000
0.377 0.754 0.302
0.930 0.861 0.583
0.294 0.587 0.939
0.706 0.413 0.061
0.070 0.139 0.417
0.320 0.641 0.654
0.680 0.359 0.346

Pr2DySn, optimized geometry, DFT PBE; DOS(E_F) = 1.01 states/eV per atom; DFT formation energy = -434 meV per atom; energy relative to the lowest polymorph listed for this composition = 0 meV/atom
1.0
4.998 0.000 0.000
0.000 4.903 0.000
0.000 0.000 4.903
Dy Sn Pr
1 1 2
direct
0.500 0.500 0.500
0.500 0.000 0.000
0.000 0.000 0.500
0.000 0.500 0.000

PrDy2Sn2, optimized geometry, DFT PBE; DOS(E_F) = 0.99 states/eV per atom; DFT formation energy = -524 meV per atom
1.0
4.609 0.482 -0.271
-0.507 4.606 -0.271
-1.674 -2.077 7.236
Pr Sn Dy
1 2 2
direct
0.000 0.000 0.000
0.602 0.602 0.201
0.398 0.398 0.799
0.250 0.750 0.500
0.750 0.250 0.500

Copy entry 2 word for word.
PrDySn, optimized geometry, DFT PBE; DOS(E_F) = 1.13 states/eV per atom; DFT formation energy = -617 meV per atom; energy relative to the lowest polymorph listed for this composition = 0 meV/atom
1.0
4.501 0.176 -1.208
-0.499 4.476 -1.208
0.050 0.058 9.198
Dy Sn Pr
2 2 2
direct
0.000 0.500 0.000
0.500 0.000 0.000
0.132 0.132 0.264
0.868 0.868 0.736
0.323 0.323 0.647
0.677 0.677 0.353

Q: What is the DOS(E_F) in the fifth record?
A: 1.01 states/eV per atom

Copy entry 4 word for word.
Pr3Dy2Sn4, optimized geometry, DFT PBE; DOS(E_F) = 0.66 states/eV per atom; DFT formation energy = -624 meV per atom
1.0
-0.687 0.501 -4.499
6.511 -2.891 1.013
-7.643 -6.503 0.444
Pr Sn Dy
3 4 2
direct
0.623 0.246 0.698
0.000 0.000 0.000
0.377 0.754 0.302
0.930 0.861 0.583
0.294 0.587 0.939
0.706 0.413 0.061
0.070 0.139 0.417
0.320 0.641 0.654
0.680 0.359 0.346

Q: What is the DFT formation energy in the fifth record?
A: -434 meV per atom